A plane-wave DFT calculation with GGA-PBE was carried out for a geometry-optimized PmNd5Pd2 structure.

Geometry as CIF:
```
data_PmNd5Pd2
_cell_length_a 3.965
_cell_length_b 12.766
_cell_length_c 19.026
_cell_angle_alpha 90.00
_cell_angle_beta 90.00
_cell_angle_gamma 90.00
_symmetry_space_group_name_H-M 'C m c m'
_symmetry_Int_Tables_number 63
_symmetry_space_group_name_Hall '-C 2c 2'
loop_
_atom_site_label
_atom_site_type_symbol
_atom_site_fract_x
_atom_site_fract_y
_atom_site_fract_z
_atom_site_occupancy
Pm1 Pm 0.000 0.136 0.250 1
Nd1 Nd 0.000 0.131 0.750 1
Nd2 Nd 0.000 0.147 0.039 1
Nd3 Nd 0.000 0.439 0.112 1
Pd1 Pd 0.000 0.270 0.632 1
```

## Properties
The spin magnetization comes out at 0.00 Bohr magnetons per cell. As for the energy: -5.19 eV/atom. The calculation puts the calculated volume at 963.1 Å³/cell.